# 1
Entry from Alexandria via LeMat-Bulk: TaCOF2 after structural relaxation (GGA-PBE).

Summary:
For the theoretical density, the calculation gives 7.03 g/cm3. The calculation puts the magnetic moment at 1.3 μB per formula unit. The value obtained for the formation energy from raw total energies is 48 kJ/mol of atoms. The space group is P4/mmm (123). The total energy comes out at -27.3 eV per formula unit.

Cell: 4.613 4.613 2.743 Å, 90.00 90.00 90.00°
Sites, in units of the cell vectors:
Ta1 0.500 0.500 0.500
C1 0.000 0.000 0.000
F1 0.000 0.500 0.000
F2 0.500 0.000 0.000
O1 0.000 0.000 0.500


# 2
Entry from Alexandria via LeMat-Bulk: RbAgAu2 after structural relaxation (GGA-PBE).

Summary:
For the theoretical density, the calculation gives 9.64 g/cm3. The calculation puts the magnetic moment at 0.0 μB per formula unit. The space group is Fm-3m (225). The total energy comes out at -9.4 eV per formula unit.

Cell: 5.230 5.230 5.230 Å, 60.00 60.00 60.00°
Sites, in units of the cell vectors:
Ag1 0.500 0.500 0.500
Rb1 0.000 0.000 0.000
Au1 0.750 0.750 0.750
Au2 0.250 0.250 0.250


# 3
Entry from Alexandria via LeMat-Bulk: Pr5ErAl6 after structural relaxation (GGA-PBE).

Summary:
For the theoretical density, the calculation gives 5.53 g/cm3. The calculation puts the magnetic moment at 0.0 μB per formula unit. The space group is Immm (71). The total energy comes out at -55.0 eV per formula unit.

Cell: 5.283 7.416 9.133 Å, 66.04 73.16 90.00°
Sites, in units of the cell vectors:
Al1 0.162 0.924 0.677
Al2 0.838 0.076 0.323
Pr1 0.000 0.500 0.000
Pr2 0.338 0.338 0.324
Al3 0.500 0.774 0.000
Er1 0.000 0.000 0.000
Pr3 0.662 0.662 0.676
Pr4 0.675 0.175 0.650
Al4 0.162 0.399 0.677
Al5 0.838 0.601 0.323
Pr5 0.325 0.825 0.350
Al6 0.500 0.226 0.000


# 4
Entry from Alexandria via LeMat-Bulk: Ni2OsBr2 after structural relaxation (GGA-PBE).

Summary:
For the theoretical density, the calculation gives 8.53 g/cm3. The calculation puts the magnetic moment at 4.9 μB per formula unit. The value obtained for the formation energy from raw total energies is 140 kJ/mol of atoms. The space group is I4/mmm (139). The total energy comes out at -18.9 eV per formula unit.

Cell: 6.102 6.102 6.102 Å, 140.55 140.55 57.03°
Sites, in units of the cell vectors:
Br1 0.250 0.750 0.500
Br2 0.750 0.250 0.500
Ni1 0.608 0.608 0.000
Os1 0.000 0.000 0.000
Ni2 0.392 0.392 0.000